Entry 1:
A plane-wave DFT calculation with meta-GGA SCAN was carried out for Hf3TcMo at its PBEsol-relaxed geometry.

The space group is Pm-3m (No. 221) and the conventional cell measures 4.813, 4.813 and 4.813 Å, with angles of 90.00, 90.00 and 90.00 degrees. The inequivalent atoms are Hf at (0.000, 0.000, 0.500), Tc at (0.500, 0.500, 0.500) and Mo at (0.000, 0.000, 0.000).

As for the spin magnetization: 1.2 μB/f.u. As for the total energy: -50.43 eV per atom.

Entry 2:
A plane-wave DFT calculation with meta-GGA SCAN was carried out for La2ScIr at its PBEsol-relaxed geometry.

The space group is Imm2 (No. 44) and the conventional cell measures 3.608, 5.257 and 10.804 Å, with angles of 90.00, 90.00 and 90.00 degrees. The inequivalent atoms are La at (0.000, 0.000, 0.000), La at (0.000, 0.500, 0.205), Sc at (0.000, 0.000, 0.397) and Ir at (0.000, 0.500, 0.722).

As for the spin magnetization: 0.0 μB/f.u. As for the total energy: -43.37 eV per atom.

Entry 3:
A plane-wave DFT calculation with meta-GGA SCAN was carried out for Ba3HgF at its PBEsol-relaxed geometry.

The space group is Pm-3m (No. 221) and the conventional cell measures 6.473, 6.473 and 6.473 Å, with angles of 90.00, 90.00 and 90.00 degrees. The inequivalent atoms are Ba at (0.000, 0.000, 0.500), Hg at (0.000, 0.000, 0.000) and F at (0.500, 0.500, 0.500).

The raw formation energy is -0.667 eV/atom. As for the spin magnetization: 0.0 μB/f.u. As for the total energy: -38.74 eV per atom.

Entry 4:
A plane-wave DFT calculation with meta-GGA SCAN was carried out for GeMoPO2 at its PBEsol-relaxed geometry.

The space group is P4/mmm (No. 123) and the conventional cell measures 3.789, 3.789 and 5.055 Å, with angles of 90.00, 90.00 and 90.00 degrees. The inequivalent atoms are Ge at (0.000, 0.000, 0.000), Mo at (0.500, 0.500, 0.500), P at (0.500, 0.500, 0.000) and O at (0.000, 0.500, 0.500).

The raw formation energy is -0.859 eV/atom. As for the spin magnetization: 0.0 μB/f.u. As for the total energy: -16.23 eV per atom.

Entry 5:
A plane-wave DFT calculation with meta-GGA SCAN was carried out for Re3MoAu at its PBEsol-relaxed geometry.

The space group is Pm-3m (No. 221) and the conventional cell measures 4.606, 4.606 and 4.606 Å, with angles of 90.00, 90.00 and 90.00 degrees. The inequivalent atoms are Re at (0.000, 0.000, 0.500), Mo at (0.000, 0.000, 0.000) and Au at (0.500, 0.500, 0.500).

As for the spin magnetization: 0.0 μB/f.u. As for the total energy: -61.06 eV per atom.

Entry 6:
A plane-wave DFT calculation with meta-GGA SCAN was carried out for LaFeSi2 at its PBEsol-relaxed geometry.

The space group is Imm2 (No. 44) and the conventional cell measures 4.306, 5.327 and 6.538 Å, with angles of 90.00, 90.00 and 90.00 degrees. The inequivalent atoms are La at (0.000, 0.000, 0.000), Fe at (0.000, 0.500, 0.139), Si at (0.000, 0.000, 0.525) and Si at (0.000, 0.500, 0.804).

The raw formation energy is 0.142 eV/atom. As for the spin magnetization: 1.1 μB/f.u. As for the total energy: -20.17 eV per atom.

Entry 7:
A plane-wave DFT calculation with meta-GGA SCAN was carried out for Cu5P at its PBEsol-relaxed geometry.

The space group is Cm (No. 8) and the conventional cell measures 9.297, 2.599 and 5.928 Å, with angles of 90.00, 104.87 and 90.00 degrees. The inequivalent atoms are Cu at (0.000, 0.000, 0.000), Cu at (0.048, 0.000, 0.605), Cu at (0.165, 0.500, 0.331), Cu at (0.325, 0.000, 0.671), Cu at (0.386, 0.000, 0.275) and P at (0.219, 0.500, 0.946).

As for the spin magnetization: 0.0 μB/f.u. As for the total energy: -14.34 eV per atom.

Entry 8:
A plane-wave DFT calculation with meta-GGA SCAN was carried out for Mn3Ag at its PBEsol-relaxed geometry.

The space group is Pmm2 (No. 25) and the conventional cell measures 2.607, 4.156 and 4.626 Å, with angles of 90.00, 90.00 and 90.00 degrees. The inequivalent atoms are Mn at (0.000, 0.000, 0.000), Mn at (0.000, 0.500, 0.291), Mn at (0.500, 0.500, 0.844) and Ag at (0.500, 0.000, 0.501).

As for the spin magnetization: 3.3 μB/f.u. As for the total energy: -21.27 eV per atom.

Entry 9:
A plane-wave DFT calculation with meta-GGA SCAN was carried out for Rh2C at its PBEsol-relaxed geometry.

The space group is Pnnm (No. 58) and the conventional cell measures 4.713, 4.716 and 3.079 Å, with angles of 90.00, 90.00 and 90.00 degrees. The inequivalent atoms are Rh at (0.241, 0.156, 0.000) and C at (0.000, 0.000, 0.500).

As for the spin magnetization: 0.0 μB/f.u. As for the total energy: -25.74 eV per atom.

Entry 10:
A plane-wave DFT calculation with meta-GGA SCAN was carried out for Cs2InSb at its PBEsol-relaxed geometry.

The space group is Fm-3m (No. 225) and the conventional cell measures 8.727, 8.727 and 8.727 Å, with angles of 90.00, 90.00 and 90.00 degrees. The inequivalent atoms are Cs at (0.250, 0.250, 0.250), In at (0.000, 0.000, 0.000) and Sb at (0.000, 0.000, 0.500).

The raw formation energy is -0.084 eV/atom. As for the spin magnetization: 0.0 μB/f.u. As for the total energy: -36.65 eV per atom.

Entry 11:
A plane-wave DFT calculation with meta-GGA SCAN was carried out for Na2H6Pt at its PBEsol-relaxed geometry.

The space group is Fm-3m (No. 225) and the conventional cell measures 7.132, 7.132 and 7.132 Å, with angles of 90.00, 90.00 and 90.00 degrees. The inequivalent atoms are Na at (0.250, 0.250, 0.250), H at (0.000, 0.000, 0.231) and Pt at (0.000, 0.000, 0.000).

As for the spin magnetization: 0.0 μB/f.u. As for the total energy: -11.52 eV per atom.

Entry 12:
A plane-wave DFT calculation with meta-GGA SCAN was carried out for SrCaZn4 at its PBEsol-relaxed geometry.

The space group is F-43m (No. 216) and the conventional cell measures 7.868, 7.868 and 7.868 Å, with angles of 90.00, 90.00 and 90.00 degrees. The inequivalent atoms are Sr at (0.000, 0.000, 0.000), Ca at (0.250, 0.250, 0.750) and Zn at (0.125, 0.125, 0.375).

As for the spin magnetization: 0.0 μB/f.u. As for the total energy: -14.58 eV per atom.

Which value of spin magnetization does entry 1 give? 1.2 μB/f.u.

Please write out number 8 again, unchanged.
A plane-wave DFT calculation with meta-GGA SCAN was carried out for Mn3Ag at its PBEsol-relaxed geometry.

The space group is Pmm2 (No. 25) and the conventional cell measures 2.607, 4.156 and 4.626 Å, with angles of 90.00, 90.00 and 90.00 degrees. The inequivalent atoms are Mn at (0.000, 0.000, 0.000), Mn at (0.000, 0.500, 0.291), Mn at (0.500, 0.500, 0.844) and Ag at (0.500, 0.000, 0.501).

As for the spin magnetization: 3.3 μB/f.u. As for the total energy: -21.27 eV per atom.

Number 9 is which compound? Rh2C